Entry 1:
## La3Sm8Er2 (PBE)

Data for a relaxed structure of La3Sm8Er2.

Unit cell a=20.4490 b=7.7685 c=5.7674 alpha=90.00 beta=90.07 gamma=90.00
Space group C2/m (No. 12)
One atom of each set of equivalent atoms:
1 La 0.0000 0.0000 0.0000 x2
2 La 0.0000 0.2952 0.5000 x4
3 Sm 0.1096 0.2913 0.9999 x8
4 Sm 0.1369 0.0000 0.4984 x4
5 Sm 0.1756 0.5000 0.5015 x4
6 Er 0.2414 0.0000 0.9977 x4

Calculated values
Crystal system: monoclinic
DOS(E_F), states/eV per atom: 1.613
VASP energy, eV per atom: -4.52

***

Entry 2:
## La3SmEr6 (PBE)

Data for a relaxed structure of La3SmEr6.

Unit cell a=13.6657 b=14.4954 c=6.8576 alpha=90.00 beta=90.00 gamma=90.00
Space group Cmc2_1 (No. 36)
One atom of each set of equivalent atoms:
1 La 0.0000 0.1046 0.0000 x4
2 La 0.2037 0.4634 0.2778 x8
3 Sm 0.0000 0.3083 0.8128 x4
4 Er 0.0000 0.2877 0.3101 x4
5 Er 0.0000 0.4892 0.5444 x4
6 Er 0.1154 0.1040 0.4956 x8
7 Er 0.2369 0.2131 0.1062 x8

Calculated values
Crystal system: orthorhombic
DOS(E_F), states/eV per atom: 1.511
VASP energy, eV per atom: -4.47

***

Entry 3:
## La7SmEr4 (PBE)

Data for a relaxed structure of La7SmEr4.

Unit cell a=6.4091 b=7.3616 c=9.0611 alpha=90.02 beta=103.55 gamma=90.04
Space group P-1 (No. 2)
One atom of each set of equivalent atoms:
1 La 0.0000 0.0000 0.0000 x1
2 La 0.2218 0.4996 0.6662 x2
3 La 0.2814 0.7508 0.3355 x2
4 La 0.4992 0.7548 0.9959 x2
5 Sm 0.0000 0.5000 0.0000 x1
6 Er 0.2184 0.9992 0.6628 x2
7 Er 0.2763 0.2442 0.3329 x2

Calculated values
Crystal system: triclinic
DOS(E_F), states/eV per atom: 1.543
VASP energy, eV per atom: -4.77

***

Entry 4:
## LaSm12Er2 (PBE)

Data for a relaxed structure of LaSm12Er2.

Unit cell a=6.4839 b=6.4839 c=25.5329 alpha=90.00 beta=90.00 gamma=90.00
Space group P4/nbm (No. 125, origin choice 2)
One atom of each set of equivalent atoms:
1 La 0.2500 0.7500 0.0000 x2
2 Sm 0.0678 0.5678 0.1179 x8
3 Sm 0.0819 0.5819 0.4383 x8
4 Sm 0.2500 0.2500 0.2180 x4
5 Sm 0.2500 0.2500 0.3389 x4
6 Er 0.2500 0.7500 0.2756 x4

Calculated values
Crystal system: tetragonal
DOS(E_F), states/eV per atom: 1.214
VASP energy, eV per atom: -4.41

***

Entry 5:
## La3Sm2Er2 (PBE)

Data for a relaxed structure of La3Sm2Er2.

Unit cell a=17.8544 b=3.5414 c=8.6636 alpha=90.00 beta=118.68 gamma=90.00
Space group C2/m (No. 12)
One atom of each set of equivalent atoms:
1 La 0.0000 0.0000 0.0000 x2
2 La 0.2135 0.0000 0.2935 x4
3 Sm 0.0645 0.5000 0.4120 x4
4 Er 0.1441 0.0000 0.8274 x4

Calculated values
Crystal system: monoclinic
DOS(E_F), states/eV per atom: 1.582
VASP energy, eV per atom: -4.65

***

Entry 6:
## La7Sm4Er (PBE)

Data for a relaxed structure of La7Sm4Er.

Unit cell a=16.5848 b=6.1413 c=9.5036 alpha=90.00 beta=116.36 gamma=90.00
Space group C2/m (No. 12)
One atom of each set of equivalent atoms:
1 La 0.0000 0.0000 0.0000 x2
2 La 0.0820 0.5000 0.4335 x4
3 La 0.2051 0.5000 0.8754 x4
4 La 0.2076 0.5000 0.2194 x4
5 Sm 0.0729 0.0000 0.6987 x4
6 Sm 0.1728 0.0000 0.3932 x4
7 Er 0.0000 0.5000 0.0000 x2

Calculated values
Crystal system: monoclinic
DOS(E_F), states/eV per atom: 1.702
VASP energy, eV per atom: -4.62